SrLiAsBr2 | meta-GGA SCAN | single point on PBEsol structure

Summary:
* formation energy (no corrections): -0.83 eV per atom

Unit cell a=5.826 b=5.826 c=6.076 alpha=90.00 beta=90.00 gamma=90.00
Sites, in units of the cell vectors:
Sr 0.000 0.000 0.000
Li 0.500 0.500 0.500
As 0.000 0.000 0.500
Br 0.000 0.500 0.000
Br 0.500 0.000 0.000

=====

LiTlAs2Br | meta-GGA SCAN | single point on PBEsol structure

Summary:
* formation energy (no corrections): 0.37 eV per atom

Unit cell a=5.254 b=5.254 c=6.058 alpha=90.00 beta=90.00 gamma=90.00
Sites, in units of the cell vectors:
Li 0.000 0.000 0.000
Tl 0.500 0.500 0.500
As 0.000 0.500 0.500
As 0.500 0.000 0.500
Br 0.500 0.500 0.000

=====

LiZnAs2Br | meta-GGA SCAN | single point on PBEsol structure

Summary:
* formation energy (no corrections): 0.50 eV per atom

Unit cell a=4.624 b=4.624 c=4.745 alpha=90.00 beta=90.00 gamma=90.00
Sites, in units of the cell vectors:
Li 0.000 0.000 0.000
Zn 0.500 0.500 0.500
As 0.000 0.500 0.000
As 0.500 0.000 0.000
Br 0.000 0.000 0.500

=====

| no. | total magnetization (μB/f.u.) |
| --- | --- |
| 1 | 2.00 |
| 2 | 2.01 |
| 3 | 0.96 |